Density functional theory data (GGA-PBE) for a geometry-optimized CoCuSn4 structure.

Computed properties:
Electronic total energy, eV/f.u.: -27.13
E_form, meV per atom: 15
SG: C2/c, No. 15
Offset from the most stable computed form, kJ per mole of atoms: 3.5
Theoretical density, g cm⁻³: 7.6
Crystal system: monoclinic
Total magnetic moment, μB per formula unit: 0.2

Cell and atoms, written as POSCAR:
```
CoCuSn4
1.0
-4.045 -2.764 2.460
3.098 -5.730 -1.748
4.108 4.353 5.741
Co Cu Sn
2 2 8
Cartesian
6.055 -2.072 4.373
-2.894 -2.069 2.080
1.935 -3.515 2.085
1.226 -0.626 4.368
0.555 -0.199 6.885
1.622 -3.310 4.717
3.765 -0.998 4.985
4.402 -3.658 3.065
-1.240 -0.483 3.388
-0.604 -3.143 1.468
1.540 -0.831 1.736
2.606 -3.942 -0.432
```



Density functional theory data (GGA-PBE) for a geometry-optimized ZrSi3 structure.

Computed properties:
Electronic total energy, eV/f.u.: -25.75
SG: P4/mmm, No. 123
Theoretical density, g cm⁻³: 4.5
Crystal system: tetragonal
Formation energy without anion corrections, meV per atom: -233
Total magnetic moment, μB per formula unit: 0.0

Cell and atoms, written as POSCAR:
```
ZrSi3
1.0
3.458 0.000 0.000
0.000 3.458 0.000
0.000 0.000 5.443
Si Zr
3 1
Cartesian
0.000 0.000 0.139
1.729 1.729 1.361
0.000 0.000 2.583
1.729 1.729 4.082
```